[1]
A plane-wave DFT calculation with PBE was carried out for Ba2NiAs after structural relaxation.

Calculated values
ΔH_f (0 K) in eV per atom: -0.2184
SG: C2/m
Calculated density in Mg/m³: 4.65
V in Å³ per cell: 145.8

abc: 4.785 4.785 7.862
angles: 107.62 107.62 59.85
Positions (direct):
Ba1 0.248 0.248 0.245
Ba2 0.752 0.752 0.755
Ni1 0.000 0.000 0.500
As1 0.500 0.500 0.000

[2]
A plane-wave DFT calculation with PBE was carried out for BaNi2As after structural relaxation.

Calculated values
ΔH_f (0 K) in eV per atom: -0.3500
SG: Pm
Calculated density in Mg/m³: 5.80
V in Å³ per cell: 94.3

abc: 4.519 4.264 4.894
angles: 90.00 90.10 90.00
Positions (direct):
Ba1 0.000 0.000 0.000
Ni1 0.171 0.500 0.500
Ni2 0.481 0.000 0.500
As1 0.672 0.500 0.499

[3]
A plane-wave DFT calculation with PBE was carried out for BaNi2As after structural relaxation.

Calculated values
ΔH_f (0 K) in eV per atom: -0.2775
SG: Pmmm
Calculated density in Mg/m³: 5.79
V in Å³ per cell: 94.6

abc: 3.898 4.877 4.977
angles: 90.00 90.00 90.00
Positions (direct):
Ba1 0.000 0.000 0.000
Ni1 0.500 0.245 0.500
Ni2 0.500 0.755 0.500
As1 0.000 0.500 0.500

[4]
A plane-wave DFT calculation with PBE was carried out for BaNiAs4 after structural relaxation.

Calculated values
ΔH_f (0 K) in eV per atom: 0.1261
SG: F-43m
Calculated density in Mg/m³: 6.08
V in Å³ per cell: 135.3

abc: 5.762 5.762 5.762
angles: 60.00 60.00 60.00
Positions (direct):
Ba1 0.000 0.000 0.000
Ni1 0.750 0.750 0.750
As1 0.381 0.381 0.381
As2 0.381 0.381 0.856
As3 0.381 0.856 0.381
As4 0.856 0.381 0.381

[5]
A plane-wave DFT calculation with PBE was carried out for BaNiAs2 after structural relaxation.

Calculated values
ΔH_f (0 K) in eV per atom: 0.1153
SG: P4/mmm
Calculated density in Mg/m³: 6.21
V in Å³ per cell: 92.5

abc: 4.474 4.474 4.619
angles: 90.00 90.00 90.00
Positions (direct):
Ba1 0.000 0.000 0.000
Ni1 0.500 0.500 0.000
As1 0.000 0.500 0.500
As2 0.500 0.000 0.500

[6]
A plane-wave DFT calculation with PBE was carried out for BaNi2As after structural relaxation.

Calculated values
ΔH_f (0 K) in eV per atom: 0.0184
SG: P4mm
Calculated density in Mg/m³: 7.04
V in Å³ per cell: 77.7

abc: 3.333 3.333 6.999
angles: 90.00 90.00 90.00
Positions (direct):
Ba1 0.000 0.000 0.000
Ni1 0.000 0.000 0.487
Ni2 0.500 0.500 0.310
As1 0.500 0.500 0.631

[7]
A plane-wave DFT calculation with PBE was carried out for BaNi2As after structural relaxation.

Calculated values
ΔH_f (0 K) in eV per atom: 0.1273
SG: P4/mmm
Calculated density in Mg/m³: 7.18
V in Å³ per cell: 76.3

abc: 3.298 3.298 7.014
angles: 90.00 90.00 90.00
Positions (direct):
Ba1 0.000 0.000 0.000
Ni1 0.500 0.500 0.331
Ni2 0.500 0.500 0.669
As1 0.000 0.000 0.500

[8]
A plane-wave DFT calculation with PBE was carried out for Ba2Ni2As after structural relaxation.

Calculated values
ΔH_f (0 K) in eV per atom: -0.1370
SG: P4/mbm
Calculated density in Mg/m³: 6.36
V in Å³ per cell: 243.8

abc: 7.263 7.263 4.622
angles: 90.00 90.00 90.00
Positions (direct):
Ba1 0.191 0.309 0.000
Ba2 0.309 0.809 0.000
Ba3 0.691 0.191 0.000
Ba4 0.809 0.691 0.000
Ni1 0.114 0.614 0.500
Ni2 0.386 0.114 0.500
Ni3 0.614 0.886 0.500
Ni4 0.886 0.386 0.500
As1 0.000 0.000 0.500
As2 0.500 0.500 0.500

[9]
A plane-wave DFT calculation with PBE was carried out for Ba2NiAs after structural relaxation.

Calculated values
ΔH_f (0 K) in eV per atom: -0.2910
SG: P4/mmm
Calculated density in Mg/m³: 5.51
V in Å³ per cell: 123.0

abc: 5.480 5.480 4.096
angles: 90.00 90.00 90.00
Positions (direct):
Ba1 0.000 0.500 0.000
Ba2 0.500 0.000 0.000
Ni1 0.000 0.000 0.500
As1 0.500 0.500 0.500

[10]
A plane-wave DFT calculation with PBE was carried out for BaNi2As after structural relaxation.

Calculated values
ΔH_f (0 K) in eV per atom: -0.0397
SG: Imm2
Calculated density in Mg/m³: 5.74
V in Å³ per cell: 95.3

abc: 5.285 5.285 5.285
angles: 134.32 108.87 88.74
Positions (direct):
Ba1 0.000 0.000 0.000
Ni1 0.469 0.469 0.000
Ni2 0.640 0.140 0.500
As1 0.333 0.833 0.500

[11]
A plane-wave DFT calculation with PBE was carried out for BaNiAs2 after structural relaxation.

Calculated values
ΔH_f (0 K) in eV per atom: -0.1524
SG: P4/mmm
Calculated density in Mg/m³: 6.72
V in Å³ per cell: 85.5

abc: 3.465 3.465 7.120
angles: 90.00 90.00 90.00
Positions (direct):
Ba1 0.000 0.000 0.000
Ni1 0.000 0.000 0.500
As1 0.500 0.500 0.330
As2 0.500 0.500 0.670

[12]
A plane-wave DFT calculation with PBE was carried out for BaNiAs2 after structural relaxation.

Calculated values
ΔH_f (0 K) in eV per atom: -0.6310
SG: P2/m
Calculated density in Mg/m³: 5.94
V in Å³ per cell: 96.8

abc: 4.790 3.956 5.234
angles: 90.00 102.68 90.00
Positions (direct):
Ba1 0.000 0.000 0.000
Ni1 0.500 0.000 0.500
As1 0.275 0.500 0.616
As2 0.725 0.500 0.384

[13]
A plane-wave DFT calculation with PBE was carried out for Ba2NiAs after structural relaxation.

Calculated values
ΔH_f (0 K) in eV per atom: -0.1533
SG: I-4m2
Calculated density in Mg/m³: 5.70
V in Å³ per cell: 119.0

abc: 6.414 6.414 6.414
angles: 137.52 137.52 61.64
Positions (direct):
Ba1 0.000 0.000 0.000
Ba2 0.750 0.250 0.500
Ni1 0.250 0.750 0.500
As1 0.500 0.500 0.000

[14]
A plane-wave DFT calculation with PBE was carried out for BaNi2As after structural relaxation.

Calculated values
ΔH_f (0 K) in eV per atom: 0.4334
SG: F-43m
Calculated density in Mg/m³: 6.64
V in Å³ per cell: 82.5

abc: 4.886 4.886 4.886
angles: 60.00 60.00 60.00
Positions (direct):
Ba1 0.000 0.000 0.000
Ni1 0.500 0.500 0.500
Ni2 0.750 0.750 0.750
As1 0.250 0.250 0.250

[15]
A plane-wave DFT calculation with PBE was carried out for Ba2NiAs after structural relaxation.

Calculated values
ΔH_f (0 K) in eV per atom: -0.5362
SG: Pm
Calculated density in Mg/m³: 5.49
V in Å³ per cell: 123.5

abc: 4.893 4.458 6.168
angles: 90.00 113.34 90.00
Positions (direct):
Ba1 0.000 0.000 0.000
Ba2 0.289 0.500 0.577
Ni1 0.675 0.000 0.352
As1 0.597 0.500 0.194

[16]
A plane-wave DFT calculation with PBE was carried out for BaNiAs2 after structural relaxation.

Calculated values
ΔH_f (0 K) in eV per atom: -0.5303
SG: R-3m
Calculated density in Mg/m³: 6.35
V in Å³ per cell: 90.4

abc: 6.538 6.538 6.538
angles: 36.93 36.93 36.93
Positions (direct):
Ba1 0.000 0.000 0.000
Ni1 0.500 0.500 0.500
As1 0.210 0.210 0.210
As2 0.790 0.790 0.790

[17]
A plane-wave DFT calculation with PBE was carried out for BaNi2As after structural relaxation.

Calculated values
ΔH_f (0 K) in eV per atom: -0.4384
SG: Cm
Calculated density in Mg/m³: 6.53
V in Å³ per cell: 83.8

abc: 4.137 4.137 6.145
angles: 109.78 109.78 60.02
Positions (direct):
Ba1 0.000 0.000 0.000
Ni1 0.493 0.493 0.479
Ni2 0.809 0.809 0.429
As1 0.192 0.192 0.578

[18]
A plane-wave DFT calculation with PBE was carried out for Ba2NiAs2 after structural relaxation.

Calculated values
ΔH_f (0 K) in eV per atom: -0.4789
SG: P4/mbm
Calculated density in Mg/m³: 6.02
V in Å³ per cell: 266.5

abc: 7.268 7.268 5.046
angles: 90.00 90.00 90.00
Positions (direct):
Ba1 0.178 0.322 0.000
Ba2 0.322 0.822 0.000
Ba3 0.678 0.178 0.000
Ba4 0.822 0.678 0.000
Ni1 0.000 0.000 0.500
Ni2 0.500 0.500 0.500
As1 0.129 0.629 0.500
As2 0.371 0.129 0.500
As3 0.629 0.871 0.500
As4 0.871 0.371 0.500

[19]
A plane-wave DFT calculation with PBE was carried out for BaNi2As after structural relaxation.

Calculated values
ΔH_f (0 K) in eV per atom: -0.4122
SG: I4_1/amd
Calculated density in Mg/m³: 5.81
V in Å³ per cell: 188.4

abc: 8.483 8.483 8.483
angles: 146.17 146.17 48.59
Positions (direct):
Ba1 0.375 0.625 0.750
Ba2 0.625 0.375 0.250
Ni1 0.000 0.000 0.000
Ni2 0.000 0.000 0.500
Ni3 0.000 0.500 0.000
Ni4 0.500 0.000 0.500
As1 0.125 0.875 0.250
As2 0.875 0.125 0.750

[20]
A plane-wave DFT calculation with PBE was carried out for Ba2NiAs after structural relaxation.

Calculated values
ΔH_f (0 K) in eV per atom: -0.2665
SG: P4/mmm
Calculated density in Mg/m³: 5.48
V in Å³ per cell: 123.7

abc: 3.948 3.948 7.937
angles: 90.00 90.00 90.00
Positions (direct):
Ba1 0.000 0.000 0.249
Ba2 0.000 0.000 0.751
Ni1 0.500 0.500 0.500
As1 0.500 0.500 0.000